Entry 1:
The following is a DFT calculation (meta-GGA SCAN) of MgTaW at its PBEsol-relaxed geometry.

Geometry as extended XYZ:
```
3
Lattice="2.839 0.000 0.000 -1.420 2.459 0.000 0.000 0.000 7.497" Properties=species:S:1:pos:R:3 pbc="T T T"
Ta 1.420 0.820 4.956
W 0.000 1.639 2.494
Mg 0.000 0.000 0.047
```

Magnetic moment (μB per cell): 0.0
Energy of formation (eV/atom): 0.440
Energy (eV for the cell shown): -139.9
Theoretical density (Mg/m³): 12.3

Entry 2:
The following is a DFT calculation (meta-GGA SCAN) of AlCo2As at its PBEsol-relaxed geometry.

Geometry as extended XYZ:
```
4
Lattice="2.818 0.000 0.000 1.409 2.441 0.000 1.409 0.814 7.630" Properties=species:S:1:pos:R:3 pbc="T T T"
Al 2.818 1.627 3.988
Co 4.227 2.441 5.773
As 1.409 0.814 1.704
Co 1.409 0.814 7.611
```

Magnetic moment (μB per cell): 3.0
Energy of formation (eV/atom): 0.121
Energy (eV for the cell shown): -62.1
E above lowest polymorph (eV/atom): 0.3820
Theoretical density (Mg/m³): 7.0

Entry 3:
The following is a DFT calculation (meta-GGA SCAN) of Si4H2O9 at its PBEsol-relaxed geometry.

Geometry as extended XYZ:
```
60
Lattice="7.539 0.003 0.225 0.004 7.539 0.225 4.183 4.183 13.615" Properties=species:S:1:pos:R:3 pbc="T T T"
O 7.912 4.180 7.050
O 3.662 2.697 5.002
O 3.455 7.873 4.241
Si 6.186 5.942 12.637
O 9.964 5.546 11.049
O 4.594 9.002 9.125
O 8.063 9.028 9.062
Si 7.875 7.630 8.235
H 1.780 5.539 1.131
Si 6.925 4.115 5.752
O 3.495 5.318 4.816
O 4.815 9.223 11.747
O 8.230 6.407 9.249
O 6.304 7.495 13.089
O 8.767 7.586 6.901
O 4.424 6.351 9.256
O 4.316 6.139 2.441
H 4.094 7.854 6.126
O 9.677 10.858 13.709
O 7.465 9.392 11.617
Si 7.715 6.372 3.613
Si 4.037 9.779 10.436
O 1.734 2.238 3.220
O 2.958 4.139 7.164
O 7.301 5.373 4.809
Si 8.461 5.355 10.436
O 9.636 5.904 13.822
O 2.048 0.866 0.356
O 7.409 5.586 11.624
H 9.945 6.185 12.934
Si 8.463 9.807 10.420
O 7.396 7.900 4.037
O 3.813 7.545 7.015
Si 5.519 2.709 1.506
O 2.089 5.821 0.243
O 5.404 4.212 6.282
O 4.260 2.333 2.448
Si 3.264 6.369 3.629
Si 6.206 9.016 12.559
O 6.911 2.502 2.318
H 2.220 7.537 6.822
H 7.631 3.871 7.939
O 4.788 5.754 11.810
O 6.321 7.512 7.783
O 7.132 2.723 4.939
O 9.991 9.487 10.845
Si 3.262 1.918 3.644
Si 3.851 4.095 5.830
O 8.270 3.852 9.823
O 5.421 4.230 0.976
O 1.761 6.178 3.016
H 9.505 4.188 7.242
Si 4.801 7.610 8.313
H 2.097 7.414 0.435
O 4.330 3.825 10.028
Si 4.010 5.353 10.452
O 6.937 5.971 2.255
Si 5.539 5.783 1.428
Si 7.688 1.945 3.629
H 9.629 4.311 13.630
```

Magnetic moment (μB per cell): 0.0
Energy (eV for the cell shown): -568.9
Theoretical density (Mg/m³): 2.3

Entry 4:
The following is a DFT calculation (meta-GGA SCAN) of BaSiNi2 at its PBEsol-relaxed geometry.

Geometry as extended XYZ:
```
4
Lattice="-3.059 1.649 1.947 0.745 -3.920 0.415 3.762 2.486 3.806" Properties=species:S:1:pos:R:3 pbc="T T T"
Si 1.077 2.234 3.875
Ni 0.872 0.250 5.233
Ni 2.282 0.341 3.296
Ba -0.984 -0.330 2.808
```

Formation energy from raw total energies (eV/atom): -0.328
Magnetic moment (μB per cell): 0.0
Energy (eV for the cell shown): -83.2
Theoretical density (Mg/m³): 5.9

Among the records above, which one has the highest energy? AlCo2As